1.
# CeBeNi2, optimized geometry, DFT PBE-GGA
# - formation energy from the elements (eV/atom) = -0.340
data_CeBeNi2
_symmetry_space_group_name_H-M 'R -3 m'
_symmetry_Int_Tables_number 166
_symmetry_space_group_name_Hall '-R 3 2"'
_cell_length_a 3.9043
_cell_length_b 3.9043
_cell_length_c 13.8086
_cell_angle_alpha 90.00
_cell_angle_beta 90.00
_cell_angle_gamma 120.00
loop_
_atom_site_label
_atom_site_type_symbol
_atom_site_fract_x
_atom_site_fract_y
_atom_site_fract_z
Ce1 Ce 0.0000 0.0000 0.0000
Be1 Be 0.0000 0.0000 0.5000
Ni1 Ni 0.0000 0.0000 0.2043



2.
# BaNbAl2Se, optimized geometry, DFT PBE-GGA
# - formation energy without anion corrections (eV per atom) = 1.82
data_BaNbAl2Se
_symmetry_space_group_name_H-M 'P 4/m m m'
_symmetry_Int_Tables_number 123
_symmetry_space_group_name_Hall '-P 4 2'
_cell_length_a 5.720
_cell_length_b 5.720
_cell_length_c 5.748
_cell_angle_alpha 90.00
_cell_angle_beta 90.00
_cell_angle_gamma 90.00
loop_
_atom_site_label
_atom_site_type_symbol
_atom_site_fract_x
_atom_site_fract_y
_atom_site_fract_z
Ba1 Ba 0.000 0.000 0.000
Nb1 Nb 0.500 0.500 0.500
Al1 Al 0.000 0.500 0.000
Se1 Se 0.000 0.000 0.500



3.
# CeCdSnSb, optimized geometry, DFT PBE-GGA
# - formation energy without anion corrections (eV per atom) = -0.54
data_CeCdSnSb
_symmetry_space_group_name_H-M 'P m m m'
_symmetry_Int_Tables_number 47
_symmetry_space_group_name_Hall '-P 2 2'
_cell_length_a 4.397
_cell_length_b 4.734
_cell_length_c 4.961
_cell_angle_alpha 90.00
_cell_angle_beta 90.00
_cell_angle_gamma 90.00
loop_
_atom_site_label
_atom_site_type_symbol
_atom_site_fract_x
_atom_site_fract_y
_atom_site_fract_z
Ce1 Ce 0.000 0.000 0.000
Cd1 Cd 0.000 0.500 0.500
Sn1 Sn 0.500 0.000 0.500
Sb1 Sb 0.500 0.500 0.000



4.
# Ba3BiO2, optimized geometry, DFT PBE-GGA
# - offset from the most stable computed form (eV per atom) = 0.0000
# - formation energy without anion corrections (eV per atom) = -1.86
data_Ba3BiO2
_symmetry_space_group_name_H-M 'P m c 21'
_symmetry_Int_Tables_number 26
_symmetry_space_group_name_Hall 'P 2c -2'
_cell_length_a 3.784
_cell_length_b 12.886
_cell_length_c 7.072
_cell_angle_alpha 90.00
_cell_angle_beta 90.00
_cell_angle_gamma 90.00
loop_
_atom_site_label
_atom_site_type_symbol
_atom_site_fract_x
_atom_site_fract_y
_atom_site_fract_z
Ba1 Ba 0.000 0.092 0.000
Ba2 Ba 0.500 0.164 0.522
Ba3 Ba 0.500 0.385 0.813
Bi1 Bi 0.000 0.365 0.267
O1 O 0.000 0.237 0.748
O2 O 0.500 0.003 0.276



5.
# LaCeEr2, optimized geometry, DFT PBE-GGA
# - offset from the most stable computed form (eV per atom) = 0.0846
# - formation energy from the elements (eV/atom) = 0.147
data_LaCeEr2
_symmetry_space_group_name_H-M 'F m -3 m'
_symmetry_Int_Tables_number 225
_symmetry_space_group_name_Hall '-F 4 2 3'
_cell_length_a 8.058
_cell_length_b 8.058
_cell_length_c 8.058
_cell_angle_alpha 90.00
_cell_angle_beta 90.00
_cell_angle_gamma 90.00
loop_
_atom_site_label
_atom_site_type_symbol
_atom_site_fract_x
_atom_site_fract_y
_atom_site_fract_z
La1 La 0.000 0.000 0.000
Ce1 Ce 0.000 0.000 0.500
Er1 Er 0.250 0.250 0.250



6.
# Pu3Co8Os, optimized geometry, DFT PBE-GGA
# - formation energy from the elements (eV/atom) = -0.047
data_Pu3Co8Os
_symmetry_space_group_name_H-M 'R 3 m'
_symmetry_Int_Tables_number 160
_symmetry_space_group_name_Hall 'R 3 -2"'
_cell_length_a 4.9116
_cell_length_b 4.9116
_cell_length_c 24.3692
_cell_angle_alpha 90.00
_cell_angle_beta 90.00
_cell_angle_gamma 120.00
loop_
_atom_site_label
_atom_site_type_symbol
_atom_site_fract_x
_atom_site_fract_y
_atom_site_fract_z
Pu1 Pu 0.0000 0.0000 0.0000
Pu2 Pu 0.0000 0.0000 0.1281
Pu3 Pu 0.0000 0.0000 0.6190
Co1 Co 0.0000 0.0000 0.3124
Co2 Co 0.0000 0.0000 0.8122
Co3 Co 0.0041 0.5020 0.0648
Co4 Co 0.1677 0.3353 0.8929
Os1 Os 0.0000 0.0000 0.4987



7.
# Ho4P6Rh7, optimized geometry, DFT PBE-GGA
# - formation energy from the elements (eV/atom) = -1.114
data_Ho4P6Rh7
_symmetry_space_group_name_H-M 'I m -3 m'
_symmetry_Int_Tables_number 229
_symmetry_space_group_name_Hall '-I 4 2 3'
_cell_length_a 8.178
_cell_length_b 8.178
_cell_length_c 8.178
_cell_angle_alpha 90.00
_cell_angle_beta 90.00
_cell_angle_gamma 90.00
loop_
_atom_site_label
_atom_site_type_symbol
_atom_site_fract_x
_atom_site_fract_y
_atom_site_fract_z
Ho1 Ho 0.250 0.250 0.250
P1 P 0.000 0.000 0.323
Rh1 Rh 0.000 0.000 0.000
Rh2 Rh 0.000 0.250 0.500



8.
# Pm6GeOs2Cl3, optimized geometry, DFT PBE-GGA
# - formation energy without anion corrections (eV per atom) = -0.93
data_Pm6GeOs2Cl3
_symmetry_space_group_name_H-M 'C 1 2/m 1'
_symmetry_Int_Tables_number 12
_symmetry_space_group_name_Hall '-C 2y'
_cell_length_a 7.183
_cell_length_b 12.471
_cell_length_c 7.766
_cell_angle_alpha 90.00
_cell_angle_beta 108.01
_cell_angle_gamma 90.00
loop_
_atom_site_label
_atom_site_type_symbol
_atom_site_fract_x
_atom_site_fract_y
_atom_site_fract_z
Pm1 Pm 0.217 0.000 0.210
Pm2 Pm 0.245 0.323 0.209
Ge1 Ge 0.000 0.500 0.000
Os1 Os 0.000 0.166 0.000
Cl1 Cl 0.000 0.000 0.500
Cl2 Cl 0.000 0.334 0.500



9.
# Pm2NClO, optimized geometry, DFT PBE-GGA
# - formation energy without anion corrections (eV per atom) = -2.34
data_Pm2NClO
_symmetry_space_group_name_H-M 'C 1 2/m 1'
_symmetry_Int_Tables_number 12
_symmetry_space_group_name_Hall '-C 2y'
_cell_length_a 13.464
_cell_length_b 3.952
_cell_length_c 9.912
_cell_angle_alpha 90.00
_cell_angle_beta 128.46
_cell_angle_gamma 90.00
loop_
_atom_site_label
_atom_site_type_symbol
_atom_site_fract_x
_atom_site_fract_y
_atom_site_fract_z
Pm1 Pm 0.068 0.000 0.310
Pm2 Pm 0.167 0.500 0.052
N1 N 0.136 0.000 0.905
Cl1 Cl 0.166 0.500 0.601
O1 O 0.071 0.500 0.195



10.
# Nd2Fe17C, optimized geometry, DFT PBE-GGA
# - formation energy from the elements (eV/atom) = 0.008
data_Nd2Fe17C
_symmetry_space_group_name_H-M 'C 1 2/m 1'
_symmetry_Int_Tables_number 12
_symmetry_space_group_name_Hall '-C 2y'
_cell_length_a 9.674
_cell_length_b 8.655
_cell_length_c 6.492
_cell_angle_alpha 90.00
_cell_angle_beta 98.06
_cell_angle_gamma 90.00
loop_
_atom_site_label
_atom_site_type_symbol
_atom_site_fract_x
_atom_site_fract_y
_atom_site_fract_z
Nd1 Nd 0.161 0.000 0.354
Fe1 Fe 0.000 0.214 0.000
Fe2 Fe 0.000 0.500 0.500
Fe3 Fe 0.096 0.500 0.902
Fe4 Fe 0.097 0.255 0.657
Fe5 Fe 0.141 0.358 0.283
Fe6 Fe 0.158 0.000 0.854
Fe7 Fe 0.250 0.250 0.000
C1 C 0.000 0.000 0.000



11.
# Y2Er3Te8, optimized geometry, DFT PBE-GGA
# - formation energy without anion corrections (eV per atom) = -1.25
data_Y2Er3Te8
_symmetry_space_group_name_H-M 'C 1 2/m 1'
_symmetry_Int_Tables_number 12
_symmetry_space_group_name_Hall '-C 2y'
_cell_length_a 15.259
_cell_length_b 8.658
_cell_length_c 7.465
_cell_angle_alpha 90.00
_cell_angle_beta 108.48
_cell_angle_gamma 90.00
loop_
_atom_site_label
_atom_site_type_symbol
_atom_site_fract_x
_atom_site_fract_y
_atom_site_fract_z
Y1 Y 0.249 0.000 0.170
Er1 Er 0.000 0.243 0.500
Er2 Er 0.000 0.500 0.000
Te1 Te 0.117 0.000 0.402
Te2 Te 0.120 0.500 0.414
Te3 Te 0.121 0.252 0.912



12.
# Ce2NiAg, optimized geometry, DFT PBE-GGA
# - offset from the most stable computed form (eV per atom) = 0.1092
# - formation energy from the elements (eV/atom) = -0.066
data_Ce2NiAg
_symmetry_space_group_name_H-M 'F m -3 m'
_symmetry_Int_Tables_number 225
_symmetry_space_group_name_Hall '-F 4 2 3'
_cell_length_a 7.160
_cell_length_b 7.160
_cell_length_c 7.160
_cell_angle_alpha 90.00
_cell_angle_beta 90.00
_cell_angle_gamma 90.00
loop_
_atom_site_label
_atom_site_type_symbol
_atom_site_fract_x
_atom_site_fract_y
_atom_site_fract_z
Ce1 Ce 0.250 0.250 0.250
Ni1 Ni 0.000 0.000 0.000
Ag1 Ag 0.000 0.000 0.500



13.
# Sr5V2N6, optimized geometry, DFT PBE-GGA
# - formation energy without anion corrections (eV per atom) = -0.98
data_Sr5V2N6
_symmetry_space_group_name_H-M 'C 1 2/c 1'
_symmetry_Int_Tables_number 15
_symmetry_space_group_name_Hall '-C 2yc'
_cell_length_a 10.401
_cell_length_b 6.598
_cell_length_c 13.724
_cell_angle_alpha 90.00
_cell_angle_beta 101.45
_cell_angle_gamma 90.00
loop_
_atom_site_label
_atom_site_type_symbol
_atom_site_fract_x
_atom_site_fract_y
_atom_site_fract_z
Sr1 Sr 0.000 0.119 0.250
Sr2 Sr 0.069 0.241 0.998
Sr3 Sr 0.158 0.413 0.717
V1 V 0.224 0.364 0.426
N1 N 0.060 0.449 0.372
N2 N 0.150 0.048 0.643
N3 N 0.227 0.066 0.435



14.
# CoIr4RuRh2, optimized geometry, DFT PBE-GGA
# - formation energy from the elements (eV/atom) = 0.016
data_CoIr4RuRh2
_symmetry_space_group_name_H-M 'P 1 2/m 1'
_symmetry_Int_Tables_number 10
_symmetry_space_group_name_Hall '-P 2y'
_cell_length_a 4.672
_cell_length_b 2.713
_cell_length_c 8.951
_cell_angle_alpha 90.00
_cell_angle_beta 100.10
_cell_angle_gamma 90.00
loop_
_atom_site_label
_atom_site_type_symbol
_atom_site_fract_x
_atom_site_fract_y
_atom_site_fract_z
Co1 Co 0.000 0.000 0.000
Ir1 Ir 0.244 0.500 0.242
Ir2 Ir 0.251 0.000 0.756
Ru1 Ru 0.500 0.500 0.000
Rh1 Rh 0.000 0.500 0.500
Rh2 Rh 0.500 0.000 0.500



15.
# TaSbTe2N, optimized geometry, DFT PBE-GGA
# - offset from the most stable computed form (eV per atom) = 1.0880
# - formation energy without anion corrections (eV per atom) = 1.21
data_TaSbTe2N
_symmetry_space_group_name_H-M 'P 4/m m m'
_symmetry_Int_Tables_number 123
_symmetry_space_group_name_Hall '-P 4 2'
_cell_length_a 5.398
_cell_length_b 5.398
_cell_length_c 5.431
_cell_angle_alpha 90.00
_cell_angle_beta 90.00
_cell_angle_gamma 90.00
loop_
_atom_site_label
_atom_site_type_symbol
_atom_site_fract_x
_atom_site_fract_y
_atom_site_fract_z
Ta1 Ta 0.000 0.000 0.000
Sb1 Sb 0.000 0.000 0.500
Te1 Te 0.000 0.500 0.000
N1 N 0.500 0.500 0.500